Here is crystalline CoRh2Cl at its relaxed geometry from Alexandria. Energies are from PBE.

Calculated values
As for the excess energy over the best structure of this formula in the dataset: 0.0 meV/atom. Its density of states at the Fermi level is 4.99 states/eV/cell. Its total magnetization is 1.82 μB per formula unit. The formation energy (no corrections) comes out at 0.248 eV/atom. The value obtained for the raw total energy is -0.2082 Ha/atom.

a = 2.828 Å, b = 2.858 Å, c = 7.401 Å
α = 90.00°, β = 90.00°, γ = 90.00°
Sites, in units of the cell vectors:
Rh (0.000, 0.000, 0.984)
Cl (0.000, 0.500, 0.519)
Rh (0.500, 0.500, 0.228)
Co (0.500, 0.500, 0.769)

Here is crystalline HoZrTe2 at its relaxed geometry from Alexandria. Energies are from PBE.

Calculated values
As for the excess energy over the best structure of this formula in the dataset: 175.1 meV/atom. Its density of states at the Fermi level is 2.36 states/eV/cell. Its total magnetization is 0.00 μB per formula unit. The formation energy (no corrections) comes out at -0.871 eV/atom. The value obtained for the raw total energy is -0.2103 Ha/atom.

a = 4.257 Å, b = 4.257 Å, c = 7.325 Å
α = 73.11°, β = 73.11°, γ = 60.00°
Sites, in units of the cell vectors:
Te (0.253, 0.253, 0.241)
Te (0.747, 0.747, 0.759)
Zr (0.000, 0.000, 0.000)
Ho (0.500, 0.500, 0.500)

Here is crystalline Ti2GaCo at its relaxed geometry from Alexandria. Energies are from PBE.

Calculated values
The value obtained for the formation energy from the elements is -382 meV/atom. Its density of states at the Fermi level is 4.80 states/eV/cell. Its total magnetization is 0.02 μB per formula unit. The value obtained for the raw total energy is -0.2522 Ha/atom.

a = 2.805 Å, b = 2.805 Å, c = 7.329 Å
α = 90.00°, β = 90.00°, γ = 90.00°
Sites, in units of the cell vectors:
Co (0.500, 0.500, 0.000)
Ti (0.000, 0.000, 0.225)
Ga (0.500, 0.500, 0.500)
Ti (0.000, 0.000, 0.775)

Here is crystalline Sr2VZnCd at its relaxed geometry from Alexandria. Energies are from PBE.

Calculated values
The value obtained for the formation energy from the elements is 856 meV/atom. Its density of states at the Fermi level is 12.91 states/eV/cell. Its total magnetization is 0.10 μB per formula unit. The value obtained for the raw total energy is -0.0764 Ha/atom.

a = 5.980 Å, b = 4.919 Å, c = 5.980 Å
α = 90.00°, β = 90.00°, γ = 90.00°
Sites, in units of the cell vectors:
Zn (0.000, 0.000, 0.000)
V (0.500, 0.500, 0.500)
Sr (0.000, 0.000, 0.500)
Sr (0.500, 0.000, 0.000)
Cd (0.000, 0.500, 0.000)

Here is crystalline Al5Tc3 at its relaxed geometry from Alexandria. Energies are from PBE.

Calculated values
As for the excess energy over the best structure of this formula in the dataset: 164.7 meV/atom. The value obtained for the formation energy from the elements is -178 meV/atom. Its density of states at the Fermi level is 12.28 states/eV/cell. Its total magnetization is 0.00 μB per formula unit. The value obtained for the raw total energy is -0.2353 Ha/atom.

a = 7.501 Å, b = 7.501 Å, c = 5.006 Å
α = 90.00°, β = 90.00°, γ = 120.00°
Sites, in units of the cell vectors:
Tc (0.386, 0.000, 0.750)
Al (0.333, 0.667, 0.000)
Tc (0.000, 0.386, 0.750)
Al (0.667, 0.333, 0.500)
Al (0.245, 0.000, 0.250)
Al (0.333, 0.667, 0.500)
Al (0.245, 0.245, 0.750)
Al (0.755, 0.000, 0.750)
Al (0.000, 0.245, 0.250)
Tc (0.614, 0.000, 0.250)
Al (0.667, 0.333, 0.000)
Tc (0.386, 0.386, 0.250)
Al (0.000, 0.755, 0.750)
Al (0.755, 0.755, 0.250)
Tc (0.614, 0.614, 0.750)
Tc (0.000, 0.614, 0.250)

Here is crystalline LiTiBr3 at its relaxed geometry from Alexandria. Energies are from PBE.

Calculated values
As for the excess energy over the best structure of this formula in the dataset: 225.7 meV/atom. Its density of states at the Fermi level is 7.90 states/eV/cell. Its total magnetization is 2.00 μB per formula unit. The formation energy (no corrections) comes out at -0.912 eV/atom. The value obtained for the raw total energy is -0.1425 Ha/atom.

a = 5.278 Å, b = 5.278 Å, c = 5.278 Å
α = 90.00°, β = 90.00°, γ = 90.00°
Sites, in units of the cell vectors:
Ti (0.000, 0.000, 0.000)
Li (0.500, 0.500, 0.500)
Br (0.500, 0.000, 0.000)
Br (0.000, 0.000, 0.500)
Br (0.000, 0.500, 0.000)

Here is crystalline Rb4Ac3ZrO8 at its relaxed geometry from Alexandria. Energies are from PBE.

Calculated values
Its density of states at the Fermi level is 3.82 states/eV/cell. Its total magnetization is 0.00 μB per formula unit. The formation energy (no corrections) comes out at -2.437 eV/atom. The value obtained for the raw total energy is -0.2375 Ha/atom.

a = 7.534 Å, b = 7.999 Å, c = 7.534 Å
α = 118.10°, β = 120.00°, γ = 90.00°
Sites, in units of the cell vectors:
O (0.799, 0.331, 0.032)
Rb (0.500, 0.000, 0.500)
O (0.766, 0.669, 0.968)
O (0.799, 0.331, 0.597)
Ac (0.500, 0.500, 0.500)
Rb (0.000, 0.000, 0.000)
O (0.201, 0.669, 0.968)
Ac (0.500, 0.500, 0.000)
O (0.728, 0.684, 0.456)
Rb (0.000, 0.000, 0.500)
Rb (0.500, 0.000, 0.000)
O (0.272, 0.316, 0.544)
O (0.201, 0.669, 0.403)
Zr (0.000, 0.500, 0.000)
O (0.234, 0.331, 0.032)
Ac (0.000, 0.500, 0.500)

Here is crystalline KH2I2 at its relaxed geometry from Alexandria. Energies are from PBE.

Calculated values
As for the excess energy over the best structure of this formula in the dataset: 0.0 meV/atom. Its density of states at the Fermi level is 5.64 states/eV/cell. Its total magnetization is 0.00 μB per formula unit. The value obtained for the raw total energy is -0.0984 Ha/atom.

a = 5.226 Å, b = 6.341 Å, c = 9.729 Å
α = 89.34°, β = 74.42°, γ = 65.66°
Sites, in units of the cell vectors:
H (0.482, 0.054, 0.481)
H (0.017, 0.446, 0.019)
I (0.373, 0.875, 0.875)
H (0.983, 0.554, 0.981)
K (0.252, 0.750, 0.250)
I (0.123, 0.625, 0.625)
H (0.518, 0.946, 0.519)
I (0.627, 0.125, 0.125)
K (0.748, 0.250, 0.750)
I (0.877, 0.375, 0.375)

Here is crystalline BaScNi at its relaxed geometry from Alexandria. Energies are from PBE.

Calculated values
As for the excess energy over the best structure of this formula in the dataset: 161.5 meV/atom. The value obtained for the formation energy from the elements is -4 meV/atom. Its density of states at the Fermi level is 11.72 states/eV/cell. Its total magnetization is 0.00 μB per formula unit. The value obtained for the raw total energy is -0.1721 Ha/atom.

a = 3.558 Å, b = 14.715 Å, c = 6.465 Å
α = 90.00°, β = 90.00°, γ = 90.00°
Sites, in units of the cell vectors:
Ba (0.000, 0.167, 0.250)
Ni (0.500, 0.000, 0.000)
Sc (0.500, 0.569, 0.750)
Sc (0.500, 0.431, 0.250)
Ni (0.000, 0.500, 0.500)
Ba (0.000, 0.833, 0.750)
Sc (0.000, 0.069, 0.750)
Ni (0.500, 0.000, 0.500)
Ni (0.000, 0.500, 0.000)
Sc (0.000, 0.931, 0.250)
Ba (0.500, 0.333, 0.750)
Ba (0.500, 0.667, 0.250)

Here is crystalline MgH3 at its relaxed geometry from Alexandria. Energies are from PBE.

Calculated values
Its density of states at the Fermi level is 0.11 states/eV/cell. Its total magnetization is 0.00 μB per formula unit. The value obtained for the raw total energy is -0.0936 Ha/atom.

a = 3.015 Å, b = 3.015 Å, c = 2.996 Å
α = 90.00°, β = 90.00°, γ = 90.00°
Sites, in units of the cell vectors:
H (0.500, 0.500, 0.082)
Mg (0.000, 0.000, 0.085)
H (0.500, 0.000, 0.545)
H (0.000, 0.500, 0.622)

Here is crystalline ErZr2Co at its relaxed geometry from Alexandria. Energies are from PBE.

Calculated values
As for the excess energy over the best structure of this formula in the dataset: 0.0 meV/atom. The value obtained for the formation energy from the elements is -166 meV/atom. Its density of states at the Fermi level is 19.44 states/eV/cell. Its total magnetization is 0.00 μB per formula unit. The value obtained for the raw total energy is -0.2704 Ha/atom.

a = 5.873 Å, b = 6.368 Å, c = 9.238 Å
α = 90.00°, β = 90.00°, γ = 90.00°
Sites, in units of the cell vectors:
Zr (0.827, 0.324, 0.937)
Zr (0.673, 0.824, 0.563)
Co (0.899, 0.608, 0.750)
Er (0.857, 0.029, 0.250)
Er (0.143, 0.971, 0.750)
Co (0.101, 0.392, 0.250)
Zr (0.173, 0.676, 0.437)
Zr (0.827, 0.324, 0.563)
Zr (0.327, 0.176, 0.063)
Er (0.643, 0.529, 0.250)
Co (0.601, 0.108, 0.750)
Er (0.357, 0.471, 0.750)
Zr (0.173, 0.676, 0.063)
Zr (0.673, 0.824, 0.937)
Co (0.399, 0.892, 0.250)
Zr (0.327, 0.176, 0.437)

Here is crystalline ScAu2Se at its relaxed geometry from Alexandria. Energies are from PBE.

Calculated values
Its density of states at the Fermi level is 3.00 states/eV/cell. Its total magnetization is 0.00 μB per formula unit. The formation energy (no corrections) comes out at -0.381 eV/atom. The value obtained for the raw total energy is -0.1644 Ha/atom.

a = 6.412 Å, b = 6.412 Å, c = 6.412 Å
α = 37.43°, β = 37.43°, γ = 37.43°
Sites, in units of the cell vectors:
Au (0.999, 0.999, 0.999)
Sc (0.250, 0.250, 0.250)
Au (0.501, 0.501, 0.501)
Se (0.750, 0.750, 0.750)

> Which formula does entry 6 have?

LiTiBr3